# Ba2DyNb3O12 PBE optimized geometry
data_Ba2DyNb3O12
_chemical_formula_sum 'Ba6 Dy3 Nb9 O36'
_cell_length_a 7.6522
_cell_length_b 7.6522
_cell_length_c 16.8727
_cell_angle_alpha 90.00
_cell_angle_beta 90.00
_cell_angle_gamma 120.00
_space_group_name_H-M_alt 'R -3 m'
_space_group_IT_number 166
_space_group_name_Hall '-R 3 2"'
loop_
_atom_site_label
_atom_site_type_symbol
_atom_site_fract_x
_atom_site_fract_y
_atom_site_fract_z
Ba1 Ba 0.0000 0.0000 0.1254
Dy1 Dy 0.0000 0.0000 0.5000
Nb1 Nb 0.0000 0.5000 0.0000
O1 O 0.0008 0.5004 0.8810
O2 O 0.0832 0.5416 0.3291
# - E_tot (eV per atom) = -7.977
# - spin magnetization (μB per cell) = 6.2